Material: Sr2MgFeRu
Method: DFT, PBE
State: relaxed

The structure in CIF format:
```
data_Sr2MgFeRu
_cell_length_a 5.497
_cell_length_b 5.497
_cell_length_c 4.893
_cell_angle_alpha 90.00
_cell_angle_beta 90.00
_cell_angle_gamma 90.00
_space_group_name_H-M_alt 'P 4/m m m'
_space_group_IT_number 123
_space_group_name_Hall '-P 4 2'
loop_
_atom_site_label
_atom_site_fract_x
_atom_site_fract_y
_atom_site_fract_z
Sr1 0.000 0.500 0.000
Mg1 0.000 0.000 0.500
Fe1 0.000 0.000 0.000
Ru1 0.500 0.500 0.500
```

Total magnetization in μB per atom: 0.686
Fermi-level density of states in states/eV per cell: 10.0
Formation enthalpy at 0 K in meV per atom: 1066.9
DFT total energy in eV/atom: -3.47


Material: Ag12Sb3Cl5
Method: DFT, PBE
State: relaxed

The structure in CIF format:
```
data_Ag12Sb3Cl5
_cell_length_a 15.984
_cell_length_b 15.984
_cell_length_c 15.984
_cell_angle_alpha 90.00
_cell_angle_beta 90.00
_cell_angle_gamma 90.00
_space_group_name_H-M_alt 'I a -3 d'
_space_group_IT_number 230
_space_group_name_Hall '-I 4bd 2c 3'
loop_
_atom_site_label
_atom_site_fract_x
_atom_site_fract_y
_atom_site_fract_z
Ag1 0.014 0.081 0.656
Sb1 0.000 0.250 0.125
Cl1 0.000 0.000 0.000
Cl2 0.000 0.250 0.375
```

Total magnetization in μB per atom: 0.000
Fermi-level density of states in states/eV per cell: 49.8
Energy relative to the elements, uncorrected in eV per atom: -0.09
DFT total energy in eV/atom: -2.88


Material: YInP
Method: DFT, PBE
State: relaxed

The structure in CIF format:
```
data_YInP
_cell_length_a 7.7398
_cell_length_b 7.7398
_cell_length_c 3.8776
_cell_angle_alpha 90.00
_cell_angle_beta 90.00
_cell_angle_gamma 120.00
_space_group_name_H-M_alt 'P -6 2 m'
_space_group_IT_number 189
_space_group_name_Hall 'P -6 -2'
loop_
_atom_site_label
_atom_site_fract_x
_atom_site_fract_y
_atom_site_fract_z
Y1 0.0000 0.3918 0.0000
In1 0.0000 0.7366 0.5000
P1 0.0000 0.0000 0.0000
P2 0.3333 0.6667 0.5000
```

Total magnetization in μB per atom: 0.000
Fermi-level density of states in states/eV per cell: 3.1
Formation enthalpy at 0 K in meV per atom: -590.3
DFT total energy in eV/atom: -5.46


Material: Ca3TePd
Method: DFT, PBE
State: relaxed

The structure in CIF format:
```
data_Ca3TePd
_cell_length_a 5.514
_cell_length_b 5.514
_cell_length_c 5.514
_cell_angle_alpha 90.00
_cell_angle_beta 90.00
_cell_angle_gamma 90.00
_space_group_name_H-M_alt 'P m -3 m'
_space_group_IT_number 221
_space_group_name_Hall '-P 4 2 3'
loop_
_atom_site_label
_atom_site_fract_x
_atom_site_fract_y
_atom_site_fract_z
Ca1 0.000 0.000 0.500
Te1 0.500 0.500 0.500
Pd1 0.000 0.000 0.000
```

Total magnetization in μB per atom: 0.000
Fermi-level density of states in states/eV per cell: 4.5
Energy relative to the elements, uncorrected in eV per atom: -0.64
DFT total energy in eV/atom: -3.51


Material: Np3Se3S2
Method: DFT, PBE
State: relaxed

The structure in CIF format:
```
data_Np3Se3S2
_cell_length_a 8.0864
_cell_length_b 8.0864
_cell_length_c 6.2386
_cell_angle_alpha 90.00
_cell_angle_beta 90.00
_cell_angle_gamma 120.00
_space_group_name_H-M_alt 'P 63/m c m'
_space_group_IT_number 193
_space_group_name_Hall '-P 6c 2'
loop_
_atom_site_label
_atom_site_fract_x
_atom_site_fract_y
_atom_site_fract_z
Np1 0.0000 0.3973 0.2500
Se1 0.0000 0.2482 0.7500
S1 0.3333 0.6667 0.0000
```

Total magnetization in μB per atom: 1.375
Fermi-level density of states in states/eV per cell: 40.0
Energy relative to the elements, uncorrected in eV per atom: -1.20
DFT total energy in eV/atom: -8.39


Material: ZrAl2Cu2
Method: DFT, PBE
State: relaxed

The structure in CIF format:
```
data_ZrAl2Cu2
_cell_length_a 3.874
_cell_length_b 3.874
_cell_length_c 10.652
_cell_angle_alpha 90.00
_cell_angle_beta 90.00
_cell_angle_gamma 90.00
_space_group_name_H-M_alt 'I 4/m m m'
_space_group_IT_number 139
_space_group_name_Hall '-I 4 2'
loop_
_atom_site_label
_atom_site_fract_x
_atom_site_fract_y
_atom_site_fract_z
Zr1 0.000 0.000 0.000
Al1 0.000 0.000 0.385
Cu1 0.000 0.500 0.250
```

Total magnetization in μB per atom: 0.000
Fermi-level density of states in states/eV per cell: 6.1
Formation enthalpy at 0 K in meV per atom: -279.4
DFT total energy in eV/atom: -5.12


Material: ZrCu3Pd6
Method: DFT, PBE
State: relaxed

The structure in CIF format:
```
data_ZrCu3Pd6
_cell_length_a 9.7766
_cell_length_b 9.7766
_cell_length_c 11.3780
_cell_angle_alpha 90.00
_cell_angle_beta 90.00
_cell_angle_gamma 120.00
_space_group_name_H-M_alt 'R -3'
_space_group_IT_number 148
_space_group_name_Hall '-R 3'
loop_
_atom_site_label
_atom_site_fract_x
_atom_site_fract_y
_atom_site_fract_z
Zr1 0.0000 0.0000 0.0000
Zr2 0.0000 0.0000 0.5000
Cu1 0.0269 0.5705 0.2000
Pd1 0.0444 0.8574 0.3094
Pd2 0.0556 0.4574 0.5900
```

Total magnetization in μB per atom: 0.000
Fermi-level density of states in states/eV per cell: 26.2
Formation enthalpy at 0 K in meV per atom: -186.7
DFT total energy in eV/atom: -5.39


Material: FeTe4Pb
Method: DFT, PBE
State: relaxed

The structure in CIF format:
```
data_FeTe4Pb
_cell_length_a 8.987
_cell_length_b 8.987
_cell_length_c 8.987
_cell_angle_alpha 90.00
_cell_angle_beta 90.00
_cell_angle_gamma 90.00
_space_group_name_H-M_alt 'F -4 3 m'
_space_group_IT_number 216
_space_group_name_Hall 'F -4 2 3'
loop_
_atom_site_label
_atom_site_fract_x
_atom_site_fract_y
_atom_site_fract_z
Fe1 0.000 0.000 0.000
Te1 0.126 0.126 0.374
Pb1 0.250 0.250 0.750
```

Total magnetization in μB per atom: 0.580
Fermi-level density of states in states/eV per cell: 31.2
Energy relative to the elements, uncorrected in eV per atom: 0.74
DFT total energy in eV/atom: -3.38